DFT (PBEsol) results for an optimized crystal structure of Li2GePd.

```
data_Li2GePd
_chemical_formula_sum 'Li8 Ge4 Pd4'
_cell_length_a 7.037
_cell_length_b 7.037
_cell_length_c 4.903
_cell_angle_alpha 90.00
_cell_angle_beta 90.00
_cell_angle_gamma 90.00
_symmetry_space_group_name_H-M 'I -4 2 d'
_symmetry_Int_Tables_number 122
_symmetry_space_group_name_Hall 'I -4 2bw'
loop_
_atom_site_label
_atom_site_fract_x
_atom_site_fract_y
_atom_site_fract_z
Li1 0.237 0.750 0.125
Ge1 0.000 0.000 0.500
Pd1 0.000 0.000 0.000
```

- electronic total energy (Ry/atom) = -0.2885
- calculated volume (Å³/cell) = 242.8
- total magnetic moment (μB per formula unit) = 0.00
- energy of formation (eV/f.u.) = -0.87
- N(E_F) (states/eV/f.u.) = 1.1